1.
VASP calculation (PBE) on an optimized crystal structure of NaCr2I2.

E_form (uncorrected)   0.409 eV/atom
Space group   I4/mmm
Total DFT energy (no corrections)   -0.3179 Ry/atom
Size of the total moment   0.00 μB/f.u.
Energy relative to the lowest polymorph listed for this composition   0.11 eV per formula unit

Unit cell a=5.365 b=5.365 c=5.965 alpha=63.28 beta=63.28 gamma=90.00
Positions (direct):
Na 0.000 0.000 0.000
Cr 0.406 0.406 0.188
Cr 0.594 0.594 0.812
I 0.750 0.250 0.500
I 0.250 0.750 0.500

***

2.
VASP calculation (PBE) on an optimized crystal structure of Na2CrI5.

E_form (uncorrected)   -0.727 eV/atom
Space group   Cmcm
Total DFT energy (no corrections)   -0.2373 Ry/atom
Size of the total moment   2.93 μB/f.u.

Unit cell a=5.994 b=8.112 c=14.335 alpha=90.00 beta=90.00 gamma=111.68
Positions (direct):
Na 0.834 0.667 0.067
I 0.688 0.376 0.613
Cr 0.182 0.364 0.250
I 0.055 0.111 0.381
Na 0.166 0.333 0.933
I 0.945 0.889 0.881
I 0.312 0.624 0.113
I 0.312 0.624 0.387
Na 0.834 0.667 0.433
I 0.701 0.401 0.250
Na 0.166 0.333 0.567
I 0.688 0.376 0.887
I 0.055 0.111 0.119
I 0.945 0.889 0.619
I 0.299 0.599 0.750
Cr 0.818 0.636 0.750

***

3.
VASP calculation (PBE) on an optimized crystal structure of Na2Cr2I.

E_form (uncorrected)   0.686 eV/atom
Space group   P4/mbm
Total DFT energy (no corrections)   -0.2941 Ry/atom
Size of the total moment   0.00 μB/f.u.
Energy relative to the lowest polymorph listed for this composition   0.00 eV per formula unit

Unit cell a=8.347 b=8.347 c=3.702 alpha=90.00 beta=90.00 gamma=90.00
Positions (direct):
Na 0.706 0.794 0.500
Na 0.206 0.706 0.500
Na 0.294 0.206 0.500
Cr 0.927 0.573 0.000
Na 0.794 0.294 0.500
I 0.000 0.000 0.000
Cr 0.073 0.427 0.000
Cr 0.573 0.073 0.000
Cr 0.427 0.927 0.000
I 0.500 0.500 0.000

***

4.
VASP calculation (PBE) on an optimized crystal structure of NaCr2I.

E_form (uncorrected)   0.944 eV/atom
Space group   Fm-3m
Total DFT energy (no corrections)   -0.3370 Ry/atom
Size of the total moment   9.91 μB/f.u.
Energy relative to the lowest polymorph listed for this composition   0.00 eV per formula unit

Unit cell a=5.217 b=5.217 c=5.217 alpha=60.00 beta=60.00 gamma=60.00
Positions (direct):
Na 0.000 0.000 0.000
I 0.500 0.500 0.500
Cr 0.250 0.250 0.250
Cr 0.750 0.750 0.750

***

5.
VASP calculation (PBE) on an optimized crystal structure of Na2CrI2.

E_form (uncorrected)   -0.176 eV/atom
Space group   I4/mmm
Total DFT energy (no corrections)   -0.2388 Ry/atom
Size of the total moment   6.00 μB/f.u.
Energy relative to the lowest polymorph listed for this composition   0.46 eV per formula unit

Unit cell a=5.540 b=5.540 c=7.909 alpha=69.50 beta=69.50 gamma=90.00
Positions (direct):
Na 0.250 0.750 0.500
Cr 0.000 0.000 0.000
I 0.650 0.650 0.699
Na 0.750 0.250 0.500
I 0.350 0.350 0.301

***

total DFT energy (no corrections) of number 5 (Na2CrI2)?
-0.2388 Ry/atom